(1)
Computed, not measured: Er2InGa3Cu4 after structural relaxation at the GGA-PBE level of DFT.

abc: 4.1446 4.1446 10.3737
angles: 90.00 90.00 90.00
Closest atoms and distances in Å follow each position.
Positions (direct):
1 Ga 0.0000 0.0000 0.5000  4 Cu 2.58
2 Ga 0.5000 0.0000 0.8751  5 Cu 2.35-2.44
3 Ga 0.0000 0.5000 0.1249  5 Cu 2.35-2.44
4 Er 0.5000 0.0000 0.2334  6 Ga 3.14-3.46, 8 Cu 3.17-3.19, 2 In 3.46
5 Er 0.0000 0.5000 0.7666  6 Ga 3.14-3.46, 8 Cu 3.17-3.19, 2 In 3.46
6 Cu 0.5000 0.5000 0.0000  4 Ga 2.44
7 Cu 0.0000 0.5000 0.3511  3 Ga 2.35-2.58, 2 In 2.58
8 Cu 0.5000 0.0000 0.6489  3 Ga 2.35-2.58, 2 In 2.58
9 Cu 0.0000 0.0000 0.0000  4 Ga 2.44
10 In 0.5000 0.5000 0.5000  4 Cu 2.58

Values from the calculation:
The calculation puts the energy of formation from the pure elements at -8.33 kcal/mol of atoms. The value obtained for the total moment is 0.00 μB per formula unit.

(2)
Computed, not measured: Na2BiPb3S6 after structural relaxation at the GGA-PBE level of DFT.

abc: 7.1746 7.1746 7.1381
angles: 99.62 99.62 119.98
Closest atoms and distances in Å follow each position.
Positions (direct):
1 S 0.4025 0.0809 0.2386  1 Bi 2.82, 2 Na 2.91-2.93, 3 Pb 2.93-3.02
2 S 0.0809 0.4025 0.2386  1 Bi 2.82, 2 Na 2.91-2.93, 3 Pb 2.93-3.02
3 S 0.7616 0.7616 0.2504  1 Bi 2.86, 3 Pb 2.90-2.99, 2 Na 2.96
4 S 0.2384 0.2384 0.7496  1 Bi 2.86, 3 Pb 2.90-2.99, 2 Na 2.96
5 S 0.9191 0.5975 0.7614  1 Bi 2.82, 2 Na 2.91-2.93, 3 Pb 2.93-3.02
6 S 0.5975 0.9191 0.7614  1 Bi 2.82, 2 Na 2.91-2.93, 3 Pb 2.93-3.02
7 Pb 0.1680 0.8320 0.5000  6 S 2.90-3.02
8 Pb 0.8320 0.1680 0.5000  6 S 2.90-3.02
9 Pb 0.5000 0.5000 0.5000  6 S 2.93-2.99
10 Na 0.3339 0.6661 0.0000  6 S 2.91-2.96
11 Na 0.6661 0.3339 0.0000  6 S 2.91-2.96
12 Bi 0.0000 0.0000 0.0000  6 S 2.82-2.86

Values from the calculation:
The formation energy from raw total energies is -14.412 kcal/mol of atoms. The value obtained for the total moment is 0.00 μB per formula unit.

(3)
Computed, not measured: Ac3La2PuSe6 after structural relaxation at the GGA-PBE level of DFT.

abc: 4.3530 8.7598 9.7658
angles: 103.05 102.88 90.00
Closest atoms and distances in Å follow each position.
Positions (direct):
1 Se 0.6612 0.0871 0.3224  1 Pu 2.99, 2 La 3.04, 3 Ac 3.12-3.17
2 Se 0.9990 0.7637 0.9980  2 Pu 3.00, 1 La 3.04, 3 Ac 3.13-3.18
3 Se 0.6693 0.5777 0.3386  3 La 3.06-3.07, 3 Ac 3.14
4 Se 0.0010 0.2363 0.0020  2 Pu 3.00, 1 La 3.04, 3 Ac 3.13-3.18
5 Se 0.3307 0.4223 0.6614  3 La 3.06-3.07, 3 Ac 3.14
6 Se 0.3388 0.9129 0.6776  1 Pu 2.99, 2 La 3.04, 3 Ac 3.12-3.17
7 Ac 0.5000 0.5000 0.0000  6 Se 3.14-3.18
8 Ac 0.1676 0.8349 0.3352  6 Se 3.12-3.17
9 Ac 0.8324 0.1651 0.6648  6 Se 3.12-3.17
10 La 0.1650 0.3308 0.3301  6 Se 3.04-3.07
11 La 0.8350 0.6692 0.6699  6 Se 3.04-3.07
12 Pu 0.5000 0.0000 0.0000  6 Se 2.99-3.00

Values from the calculation:
The formation energy from raw total energies is -42.750 kcal/mol of atoms. The value obtained for the total moment is 5.97 μB per formula unit.

(4)
Computed, not measured: Er8Ge3Te4P after structural relaxation at the GGA-PBE level of DFT.

abc: 8.3574 8.5119 8.3573
angles: 119.40 120.00 90.00
Closest atoms and distances in Å follow each position.
Positions (direct):
1 Ge 0.5000 0.5000 0.5000  6 Er 2.85-2.86
2 Ge 0.5000 0.5000 0.0000  6 Er 2.85-2.86
3 Ge 0.0000 0.5000 0.5000  6 Er 2.85-2.86
4 Er 0.2382 0.7159 0.4764  1 P 2.84, 2 Ge 2.85, 3 Te 3.13
5 Er 0.7396 0.7158 0.9777  1 P 2.84, 2 Ge 2.85, 3 Te 3.13
6 Er 0.7618 0.2841 0.5236  1 P 2.84, 2 Ge 2.85, 3 Te 3.13
7 Er 0.7619 0.2842 0.0223  1 P 2.84, 2 Ge 2.85, 3 Te 3.13
8 Er 0.7398 0.7194 0.4796  3 Ge 2.86, 3 Te 3.11
9 Er 0.2602 0.2806 0.5204  3 Ge 2.86, 3 Te 3.11
10 Er 0.2381 0.7158 0.9777  1 P 2.84, 2 Ge 2.85, 3 Te 3.13
11 Er 0.2604 0.2842 0.0223  1 P 2.84, 2 Ge 2.85, 3 Te 3.13
12 Te 0.0000 0.0000 0.5000  6 Er 3.11-3.13
13 Te 0.0000 0.0000 0.0000  6 Er 3.11-3.13
14 Te 0.5000 0.0000 0.5000  6 Er 3.11-3.13
15 Te 0.5000 0.0000 0.0000  6 Er 3.13
16 P 0.0000 0.5000 0.0000  6 Er 2.84

Values from the calculation:
The formation energy from raw total energies is -28.994 kcal/mol of atoms. The value obtained for the total moment is 0.00 μB per formula unit.

(5)
Computed, not measured: TiTc2Ru after structural relaxation at the GGA-PBE level of DFT.

abc: 4.3675 4.3675 4.3675
angles: 60.00 60.00 60.00
Closest atoms and distances in Å follow each position.
Positions (direct):
1 Tc 0.7500 0.7500 0.7500  4 Ru 2.67, 4 Ti 2.67
2 Tc 0.2500 0.2500 0.2500  4 Ru 2.67, 4 Ti 2.67
3 Ti 0.0000 0.0000 0.0000  8 Tc 2.67
4 Ru 0.5000 0.5000 0.5000  8 Tc 2.67

Values from the calculation:
The calculation puts the energy of formation from the pure elements at -0.95 kcal/mol of atoms. The value obtained for the total moment is 0.00 μB per formula unit. The polymorph energy (0 for the lowest one) comes out at 0.0000 eV per atom.

(6)
Computed, not measured: SrY2OsN4 after structural relaxation at the GGA-PBE level of DFT.

abc: 3.4864 6.2477 12.1448
angles: 90.00 90.00 106.20
Closest atoms and distances in Å follow each position.
Positions (direct):
1 Y 0.3702 0.7404 0.9583  6 N 2.28-2.55
2 Y 0.6298 0.2596 0.0417  6 N 2.28-2.55
3 Y 0.6298 0.2596 0.4583  6 N 2.28-2.55
4 Y 0.3702 0.7404 0.5417  6 N 2.28-2.55
5 N 0.7424 0.4849 0.8904  1 Os 1.90
6 N 0.3958 0.7916 0.7500  2 Os 2.01
7 N 0.6042 0.2084 0.2500  2 Os 2.01
8 N 0.2576 0.5151 0.3904  1 Os 1.90
9 N 0.0000 0.0000 0.0000  4 Y 2.39
10 N 0.0000 0.0000 0.5000  4 Y 2.39
11 N 0.2576 0.5151 0.1096  1 Os 1.90
12 N 0.7424 0.4849 0.6096  1 Os 1.90
13 Os 0.1882 0.3764 0.2500  4 N 1.90-2.01
14 Os 0.8118 0.6236 0.7500  4 N 1.90-2.01
15 Sr 0.9289 0.8578 0.2500  2 N 2.73
16 Sr 0.0711 0.1422 0.7500  2 N 2.73

Values from the calculation:
The formation energy from raw total energies is -19.653 kcal/mol of atoms. The value obtained for the total moment is 0.00 μB per formula unit.

(7)
Computed, not measured: BaCdRu2 after structural relaxation at the GGA-PBE level of DFT.

abc: 5.7151 5.7151 3.0803
angles: 76.00 76.00 113.35
Closest atoms and distances in Å follow each position.
Positions (direct):
1 Ru 0.5000 0.5000 0.0000  2 Ba 2.90, 2 Cd 2.90, 4 Ru 3.08-3.14
2 Ru 0.0000 0.0000 0.0000  2 Cd 2.90, 2 Ba 2.90, 4 Ru 3.08-3.14
3 Cd 0.0000 0.5000 0.5000  4 Ru 2.90, 2 Cd 3.08, 2 Ba 3.14
4 Ba 0.5000 0.0000 0.5000  4 Ru 2.90, 2 Ba 3.08, 2 Cd 3.14

Values from the calculation:
The calculation puts the energy of formation from the pure elements at 20.99 kcal/mol of atoms. The value obtained for the total moment is 1.32 μB per formula unit.

(8)
Computed, not measured: Ba2CuPb after structural relaxation at the GGA-PBE level of DFT.

abc: 3.9729 3.9729 9.7207
angles: 90.00 90.00 89.98
Closest atoms and distances in Å follow each position.
Positions (direct):
1 Ba 0.5000 0.5000 0.3355  1 Pb 3.37, 4 Cu 3.51
2 Ba 0.0000 0.0000 0.9307  1 Cu 3.69, 4 Pb 3.70-3.71, 4 Ba 3.97
3 Cu 0.0000 0.0000 0.5515  4 Pb 3.08
4 Pb 0.5000 0.5000 0.6822  4 Cu 3.08, 1 Ba 3.37

Values from the calculation:
The calculation puts the energy of formation from the pure elements at -0.08 kcal/mol of atoms. The value obtained for the total moment is 0.00 μB per formula unit.

We obtain mass density values of 8.5; 5.9; 7.9; 8.2; 9.7; 6.7; 9.0; 5.9 Mg/m³ for the records listed above, in that order.